[1]
Here is FeSb2IF after structural relaxation from the Alexandria database. Energies are from GGA+U.

Cell lengths 5.153, 5.153, 5.392 Å; angles 90.00, 90.00, 90.00 degrees
Space group P4/mmm (No. 123)
Inequivalent atoms, fractional coordinates:
Fe 0.000 0.000 0.000 x1
Sb 0.000 0.500 0.000 x2
I 0.000 0.000 0.500 x1
F 0.500 0.500 0.500 x1

Values from the calculation:
Energy in eV/atom: -3.167
Magnetic moment in μB per formula unit: 2.64
Offset from the most stable computed form in meV/atom: 0.0

---

[2]
Here is FeSb2IF after structural relaxation from the Alexandria database. Energies are from GGA+U.

Cell lengths 4.690, 4.690, 5.873 Å; angles 90.00, 90.00, 90.00 degrees
Space group P4/mmm (No. 123)
Inequivalent atoms, fractional coordinates:
Fe 0.000 0.000 0.000 x1
Sb 0.000 0.500 0.500 x2
I 0.500 0.500 0.000 x1
F 0.500 0.500 0.500 x1

Values from the calculation:
Energy in eV/atom: -3.034
Magnetic moment in μB per formula unit: 3.93
Offset from the most stable computed form in meV/atom: 133.0

---

[3]
Here is FeSbI2F after structural relaxation from the Alexandria database. Energies are from GGA+U.

Cell lengths 5.363, 5.363, 5.237 Å; angles 90.00, 90.00, 90.00 degrees
Space group P4/mmm (No. 123)
Inequivalent atoms, fractional coordinates:
Fe 0.000 0.000 0.000 x1
Sb 0.000 0.000 0.500 x1
I 0.000 0.500 0.000 x2
F 0.500 0.500 0.500 x1

Values from the calculation:
Energy in eV/atom: -2.693
Magnetic moment in μB per formula unit: 3.63
Offset from the most stable computed form in meV/atom: 203.2

---

[4]
Here is FeSbI2F after structural relaxation from the Alexandria database. Energies are from GGA+U.

Cell lengths 5.972, 5.972, 4.235 Å; angles 90.00, 90.00, 90.00 degrees
Space group P4/mmm (No. 123)
Inequivalent atoms, fractional coordinates:
Fe 0.000 0.000 0.000 x1
Sb 0.500 0.500 0.000 x1
I 0.000 0.500 0.500 x2
F 0.500 0.500 0.500 x1

Values from the calculation:
Energy in eV/atom: -2.896
Magnetic moment in μB per formula unit: 4.52
Offset from the most stable computed form in meV/atom: 0.0

---

[5]
Here is ScFeIF2 after structural relaxation from the Alexandria database. Energies are from GGA+U.

Cell lengths 4.094, 4.094, 6.639 Å; angles 90.00, 90.00, 90.00 degrees
Space group P4/mmm (No. 123)
Inequivalent atoms, fractional coordinates:
Sc 0.000 0.000 0.000 x1
Fe 0.500 0.500 0.500 x1
I 0.000 0.000 0.500 x1
F 0.000 0.500 0.000 x2

Values from the calculation:
Energy in eV/atom: -5.214
Magnetic moment in μB per formula unit: 3.82

---

[6]
Here is FeTe2IF after structural relaxation from the Alexandria database. Energies are from GGA+U.

Cell lengths 5.199, 5.199, 5.394 Å; angles 90.00, 90.00, 90.00 degrees
Space group P4/mmm (No. 123)
Inequivalent atoms, fractional coordinates:
Fe 0.000 0.000 0.000 x1
Te 0.000 0.500 0.000 x2
I 0.000 0.000 0.500 x1
F 0.500 0.500 0.500 x1

Values from the calculation:
Energy in eV/atom: -2.763
Magnetic moment in μB per formula unit: 3.72
Offset from the most stable computed form in meV/atom: 132.2

---

[7]
Here is FeTe2IF after structural relaxation from the Alexandria database. Energies are from GGA+U.

Cell lengths 4.646, 4.646, 6.708 Å; angles 90.00, 90.00, 90.00 degrees
Space group P4/mmm (No. 123)
Inequivalent atoms, fractional coordinates:
Fe 0.000 0.000 0.000 x1
Te 0.000 0.500 0.500 x2
I 0.500 0.500 0.000 x1
F 0.500 0.500 0.500 x1

Values from the calculation:
Energy in eV/atom: -2.895
Magnetic moment in μB per formula unit: 4.28
Offset from the most stable computed form in meV/atom: 0.0

---

[8]
Here is FeTeI2F after structural relaxation from the Alexandria database. Energies are from GGA+U.

Cell lengths 5.881, 5.881, 4.235 Å; angles 90.00, 90.00, 90.00 degrees
Space group P4/mmm (No. 123)
Inequivalent atoms, fractional coordinates:
Fe 0.000 0.000 0.000 x1
Te 0.500 0.500 0.000 x1
I 0.000 0.500 0.500 x2
F 0.500 0.500 0.500 x1

Values from the calculation:
Energy in eV/atom: -2.275
Magnetic moment in μB per formula unit: 4.23
Offset from the most stable computed form in meV/atom: 287.1

---

[9]
Here is FeTeI2F after structural relaxation from the Alexandria database. Energies are from GGA+U.

Cell lengths 5.449, 5.449, 5.401 Å; angles 90.00, 90.00, 90.00 degrees
Space group P4/mmm (No. 123)
Inequivalent atoms, fractional coordinates:
Fe 0.000 0.000 0.000 x1
Te 0.000 0.000 0.500 x1
I 0.000 0.500 0.000 x2
F 0.500 0.500 0.500 x1

Values from the calculation:
Energy in eV/atom: -2.562
Magnetic moment in μB per formula unit: 3.09
Offset from the most stable computed form in meV/atom: 0.0

---

[10]
Here is TlFeI2F after structural relaxation from the Alexandria database. Energies are from GGA+U.

Cell lengths 5.948, 5.948, 4.061 Å; angles 90.00, 90.00, 90.00 degrees
Space group P4/mmm (No. 123)
Inequivalent atoms, fractional coordinates:
Tl 0.000 0.000 0.000 x1
Fe 0.500 0.500 0.500 x1
I 0.000 0.500 0.500 x2
F 0.500 0.500 0.000 x1

Values from the calculation:
Energy in eV/atom: -3.653
Magnetic moment in μB per formula unit: 4.01

---

[11]
Here is Zn2FeIF after structural relaxation from the Alexandria database. Energies are from GGA+U.

Cell lengths 5.398, 5.398, 4.002 Å; angles 90.00, 90.00, 90.00 degrees
Space group P4/mmm (No. 123)
Inequivalent atoms, fractional coordinates:
Zn 0.000 0.500 0.000 x2
Fe 0.000 0.000 0.000 x1
I 0.500 0.500 0.500 x1
F 0.000 0.000 0.500 x1

Values from the calculation:
Energy in eV/atom: -2.664
Magnetic moment in μB per formula unit: 3.93

---

[12]
Here is InFe3F after structural relaxation from the Alexandria database. Energies are from GGA+U.

Cell lengths 4.351, 4.351, 4.351 Å; angles 90.00, 90.00, 90.00 degrees
Space group Pm-3m (No. 221)
Inequivalent atoms, fractional coordinates:
In 0.000 0.000 0.000 x1
Fe 0.000 0.500 0.500 x3
F 0.500 0.500 0.500 x1

Values from the calculation:
Energy in eV/atom: -3.924
Magnetic moment in μB per formula unit: 9.77
Offset from the most stable computed form in meV/atom: 0.0